Entry 1:
This record from the Alexandria database describes a relaxed structure of AlGeH2. The functional is PBE-GGA.

Calculated values
SG   I-42d (122)
Raw total energy   -3.3473 eV/atom

a b c (Å): 5.0993 5.0993 5.0993
angles (deg): 119.70 119.70 90.51
Last column: nearest neighbours and their distance in Å.
Positions (direct):
Al 0.0000 0.0000 0.0000  4 H 1.70
Al 0.7500 0.2500 0.5000  4 H 1.70
Ge 0.2500 0.7500 0.5000  4 H 2.45
Ge 0.5000 0.5000 0.0000  4 H 2.45
H 0.0061 0.6250 0.8811  2 Al 1.70
H 0.3750 0.2561 0.3811  2 Al 1.70
H 0.7439 0.1250 0.1189  2 Al 1.70
H 0.8750 0.9939 0.6189  2 Al 1.70

Entry 2:
This record from the Alexandria database describes a relaxed structure of Al3GeH. The functional is PBE-GGA.

Calculated values
SG   Pm-3m (221)
Raw total energy   -2.7479 eV/atom

a b c (Å): 4.9818 4.9818 4.9818
angles (deg): 90.00 90.00 90.00
Last column: nearest neighbours and their distance in Å.
Positions (direct):
Al 0.0000 0.0000 0.5000  2 Ge 2.49
Al 0.0000 0.5000 0.0000  2 Ge 2.49
Al 0.5000 0.0000 0.0000  2 Ge 2.49
Ge 0.0000 0.0000 0.0000  6 Al 2.49
H 0.5000 0.5000 0.5000  12 Al 3.52

Entry 3:
This record from the Alexandria database describes a relaxed structure of AlGeH. The functional is PBE-GGA.

Calculated values
SG   P-1 (2)
Raw total energy   -3.7933 eV/atom

a b c (Å): 2.9220 3.9517 10.1359
angles (deg): 99.27 95.44 90.03
Last column: nearest neighbours and their distance in Å.
Positions (direct):
Al 0.2251 0.2183 0.4241  5 Ge 2.76-2.77, 6 Al 2.88-2.92
Al 0.7749 0.7817 0.5759  5 Ge 2.76-2.77, 6 Al 2.88-2.92
Ge 0.3168 0.3341 0.7020  5 Al 2.76-2.77, 2 Ge 2.92
Ge 0.6832 0.6659 0.2980  5 Al 2.76-2.77, 2 Ge 2.92
H 0.0575 0.0197 0.9703  1 H 0.75
H 0.9425 0.9803 0.0297  1 H 0.75

Entry 4:
This record from the Alexandria database describes a relaxed structure of AlGeH. The functional is PBE-GGA.

Calculated values
SG   Cm (8)
Raw total energy   -3.7886 eV/atom

a b c (Å): 4.3710 4.3710 7.9921
angles (deg): 104.91 104.91 39.70
Last column: nearest neighbours and their distance in Å.
Positions (direct):
Al 0.0000 0.0000 0.0000  3 H 1.81-1.84
Al 0.2498 0.2498 0.3937  1 H 1.66
Ge 0.5634 0.5634 0.5251  1 Ge 2.45, 3 Al 2.50-2.56
Ge 0.6858 0.6858 0.8411  1 Ge 2.45, 3 Al 2.55-2.69
H 0.1977 0.1977 0.1773  2 Al 1.66-1.84
H 0.4614 0.4614 0.1127  2 Al 1.81

Entry 5:
This record from the Alexandria database describes a relaxed structure of AlGe2H. The functional is PBE-GGA.

Calculated values
SG   Fm-3m (225)
Raw total energy   -3.5966 eV/atom

a b c (Å): 4.4042 4.4042 4.4042
angles (deg): 60.00 60.00 60.00
Last column: nearest neighbours and their distance in Å.
Positions (direct):
Al 0.0000 0.0000 0.0000  8 Ge 2.70
Ge 0.2500 0.2500 0.2500  4 H 2.70, 4 Al 2.70
Ge 0.7500 0.7500 0.7500  4 Al 2.70, 4 H 2.70
H 0.5000 0.5000 0.5000  8 Ge 2.70

Entry 6:
This record from the Alexandria database describes a relaxed structure of AlGe2H. The functional is PBE-GGA.

Calculated values
SG   I-42d (122)
Raw total energy   -3.7023 eV/atom

a b c (Å): 7.7389 7.7389 7.7389
angles (deg): 147.43 147.43 46.73
Last column: nearest neighbours and their distance in Å.
Positions (direct):
Al 0.0000 0.0000 0.0000  4 Ge 2.53
Al 0.7500 0.2500 0.5000  4 Ge 2.53
Ge 0.2077 0.6250 0.0827  2 H 2.20
Ge 0.3750 0.4577 0.5827  2 H 2.20
Ge 0.5423 0.1250 0.9173  2 H 2.20
Ge 0.8750 0.7923 0.4173  2 H 2.20
H 0.2500 0.7500 0.5000  4 Ge 2.20
H 0.5000 0.5000 0.0000  4 Ge 2.20

Entry 7:
This record from the Alexandria database describes a relaxed structure of AlGeH2. The functional is PBE-GGA.

Calculated values
SG   Fm-3m (225)
Raw total energy   -3.1242 eV/atom

a b c (Å): 3.8953 3.8953 3.8953
angles (deg): 60.00 60.00 60.00
Last column: nearest neighbours and their distance in Å.
Positions (direct):
Al 0.0000 0.0000 0.0000  8 H 2.39
Ge 0.5000 0.5000 0.5000  8 H 2.39
H 0.2500 0.2500 0.2500  4 Ge 2.39, 4 Al 2.39
H 0.7500 0.7500 0.7500  4 Ge 2.39, 4 Al 2.39

Entry 8:
This record from the Alexandria database describes a relaxed structure of AlGeH3. The functional is PBE-GGA.

Calculated values
SG   Pm-3m (221)
Raw total energy   -3.1735 eV/atom

a b c (Å): 3.6550 3.6550 3.6550
angles (deg): 90.00 90.00 90.00
Last column: nearest neighbours and their distance in Å.
Positions (direct):
Al 0.0000 0.0000 0.0000  6 H 1.83
Ge 0.5000 0.5000 0.5000  12 H 2.58
H 0.0000 0.0000 0.5000  2 Al 1.83
H 0.0000 0.5000 0.0000  2 Al 1.83
H 0.5000 0.0000 0.0000  2 Al 1.83

Entry 9:
This record from the Alexandria database describes a relaxed structure of AlGeH. The functional is PBE-GGA.

Calculated values
SG   Pnma (62)
Raw total energy   -3.7259 eV/atom

a b c (Å): 7.8107 3.0866 7.3494
angles (deg): 90.00 90.00 90.00
Last column: nearest neighbours and their distance in Å.
Positions (direct):
Al 0.1356 0.2500 0.0952  3 H 1.81-1.93
Al 0.3644 0.7500 0.5952  3 H 1.81-1.93
Al 0.6356 0.2500 0.4048  3 H 1.81-1.93
Al 0.8644 0.7500 0.9048  3 H 1.81-1.93
Ge 0.1269 0.2500 0.4405  3 Al 2.54-2.67, 2 Ge 2.66
Ge 0.3731 0.7500 0.9405  3 Al 2.54-2.67, 2 Ge 2.66
Ge 0.6269 0.2500 0.0595  3 Al 2.54-2.67, 2 Ge 2.66
Ge 0.8731 0.7500 0.5595  3 Al 2.54-2.67, 2 Ge 2.66
H 0.0126 0.2500 0.8871  3 Al 1.81-1.93
H 0.4874 0.7500 0.3871  3 Al 1.81-1.93
H 0.5126 0.2500 0.6129  3 Al 1.81-1.93
H 0.9874 0.7500 0.1129  3 Al 1.81-1.93

Entry 10:
This record from the Alexandria database describes a relaxed structure of AlGeH. The functional is PBE-GGA.

Calculated values
SG   Cm (8)
Raw total energy   -3.7723 eV/atom

a b c (Å): 4.2502 4.2502 7.6041
angles (deg): 97.11 97.11 41.34
Last column: nearest neighbours and their distance in Å.
Positions (direct):
Al 0.0000 0.0000 0.0000  2 H 1.75-1.85
Al 0.6659 0.6659 0.6572  1 H 1.72
Ge 0.3016 0.3016 0.1686  1 Ge 2.44, 3 Al 2.57-2.63
Ge 0.3666 0.3666 0.4912  1 Ge 2.44, 3 Al 2.54-2.63
H 0.0993 0.0993 0.7931  3 Al 1.85-1.93
H 0.8274 0.8274 0.8322  2 Al 1.72-1.75

Entry 11:
This record from the Alexandria database describes a relaxed structure of AlGeH. The functional is PBE-GGA.

Calculated values
SG   C2/m (12)
Raw total energy   -3.8027 eV/atom

a b c (Å): 4.3355 4.3355 7.3360
angles (deg): 96.61 96.61 40.47
Last column: nearest neighbours and their distance in Å.
Positions (direct):
Al 0.2421 0.2421 0.3233  3 H 1.79-1.95
Al 0.7579 0.7579 0.6767  3 H 1.79-1.95
Ge 0.4979 0.4979 0.8333  1 Ge 2.44, 3 Al 2.53-2.61
Ge 0.5021 0.5021 0.1667  1 Ge 2.44, 3 Al 2.53-2.61
H 0.1542 0.1542 0.5353  3 Al 1.79-1.95
H 0.8458 0.8458 0.4647  3 Al 1.79-1.95

Entry 12:
This record from the Alexandria database describes a relaxed structure of AlGeH. The functional is PBE-GGA.

Calculated values
SG   Pmmn (59)
Raw total energy   -3.6954 eV/atom

a b c (Å): 3.0744 4.5034 6.2287
angles (deg): 90.00 90.00 90.00
Last column: nearest neighbours and their distance in Å.
Positions (direct):
Al 0.2500 0.2500 0.2123  1 H 1.82
Al 0.7500 0.7500 0.7877  1 H 1.82
Ge 0.2500 0.2500 0.7816  1 H 1.73
Ge 0.7500 0.7500 0.2184  1 H 1.73
H 0.2500 0.2500 0.5047  1 Ge 1.73, 1 Al 1.82
H 0.7500 0.7500 0.4953  1 Ge 1.73, 1 Al 1.82

| no. | total moment (μB/f.u.) | calculated volume (Å³/f.u.) | E above lowest polymorph (eV per atom) |
| --- | --- | --- | --- |
| 1 | 0.0 | 47.1 | 0.000 |
| 2 | 0.0 | 123.6 | 0.836 |
| 3 | 0.0 | 57.5 | 0.014 |
| 4 | 0.0 | 46.9 | 0.019 |
| 5 | 0.0 | 60.4 | 0.106 |
| 6 | 0.0 | 66.9 | 0.000 |
| 7 | 0.0 | 41.8 | 0.223 |
| 8 | 0.0 | 48.8 | 0.000 |
| 9 | 0.0 | 44.3 | 0.081 |
| 10 | 0.0 | 45.0 | 0.035 |
| 11 | 0.0 | 44.4 | 0.005 |
| 12 | 0.0 | 43.1 | 0.112 |